# 1
This record from Alexandria describes a geometry-optimized Sr2Ge2BIr2 structure. The functional is PBE.

```
data_Sr2Ge2BIr2
_symmetry_space_group_name_H-M 'C 1 2/m 1'
_symmetry_Int_Tables_number 12
_cell_length_a 11.6711
_cell_length_b 4.3409
_cell_length_c 7.4983
_cell_angle_alpha 90.00
_cell_angle_beta 128.43
_cell_angle_gamma 90.00
loop_
_symmetry_equiv_pos_as_xyz
'x,y,z'
'-x,-y,-z'
'-x,y,-z'
'x,-y,z'
'x+1/2,y+1/2,z'
'-x+1/2,-y+1/2,-z'
'-x+1/2,y+1/2,-z'
'x+1/2,-y+1/2,z'
loop_
_atom_site_label
_atom_site_fract_x
_atom_site_fract_y
_atom_site_fract_z
Sr1 0.0621 0.0000 0.3069
Ge1 0.1781 0.5000 0.7351
B1 0.0000 0.5000 0.0000
Ir1 0.1951 0.5000 0.0835
```

Summary:
formation enthalpy at 0 K	-0.6500	eV/atom
total magnetic moment	0.00	μB per formula unit
DOS(E_F)	4.51	states/eV/cell

=====

# 2
This record from Alexandria describes a geometry-optimized KBW2 structure. The functional is PBE.

```
data_KBW2
_symmetry_space_group_name_H-M 'I 41/a m d'
_symmetry_Int_Tables_number 141
_cell_length_a 6.5357
_cell_length_b 6.5357
_cell_length_c 9.2187
_cell_angle_alpha 90.00
_cell_angle_beta 90.00
_cell_angle_gamma 90.00
loop_
_symmetry_equiv_pos_as_xyz
'x,y,z'
'-x,-y,-z'
'-y+1/4,x+3/4,z+1/4'
'y+1/4,-x+3/4,-z+1/4'
'-x+1/2,-y,z+1/2'
'x+1/2,y,-z+1/2'
'y+1/4,-x+1/4,z+3/4'
'-y+1/4,x+1/4,-z+3/4'
'x,-y,-z'
'-x,y,z'
'-y+1/4,-x+1/4,-z+3/4'
'y+1/4,x+1/4,z+3/4'
'-x+1/2,y,-z+1/2'
'x+1/2,-y,z+1/2'
'y+1/4,x+3/4,-z+1/4'
'-y+1/4,-x+3/4,z+1/4'
'x+1/2,y+1/2,z+1/2'
'-x+1/2,-y+1/2,-z+1/2'
'-y+3/4,x+1/4,z+3/4'
'y+3/4,-x+1/4,-z+3/4'
'-x,-y+1/2,z'
'x,y+1/2,-z'
'y+3/4,-x+3/4,z+1/4'
'-y+3/4,x+3/4,-z+1/4'
'x+1/2,-y+1/2,-z+1/2'
'-x+1/2,y+1/2,z+1/2'
'-y+3/4,-x+3/4,-z+1/4'
'y+3/4,x+3/4,z+1/4'
'-x,y+1/2,-z'
'x,-y+1/2,z'
'y+3/4,x+1/4,-z+3/4'
'-y+3/4,-x+1/4,z+3/4'
loop_
_atom_site_label
_atom_site_fract_x
_atom_site_fract_y
_atom_site_fract_z
K1 0.0000 0.2500 0.3750
B1 0.0000 0.2500 0.8750
W1 0.0000 0.0000 0.0000
```

Summary:
formation enthalpy at 0 K	1.7816	eV/atom
total magnetic moment	1.00	μB per formula unit
DOS(E_F)	15.86	states/eV/cell